Record 1
DFT (PBE-GGA) results for a relaxed structure of ZrTlCuTeSe2.

Geometry as extended XYZ:
```
12
Lattice="1.960 -7.715 0.000 1.960 7.715 0.000 0.000 0.000 10.609" Properties=species:S:1:pos:R:3 pbc="T T T"
Te 1.960 -6.445 2.652
Te 1.960 6.445 7.956
Se 1.960 -1.816 4.691
Se 1.960 1.816 9.996
Se 1.960 1.816 5.917
Se 1.960 -1.816 0.613
Zr 0.000 0.000 0.000
Zr 0.000 0.000 5.304
Cu 1.960 -0.481 2.652
Cu 1.960 0.481 7.956
Tl 1.960 -4.208 7.956
Tl 1.960 4.208 2.652
```

Summary:
- magnetization (μB/f.u.) = 0.01
- total energy (eV/atom) = -4.88



Record 2
DFT (PBE-GGA) results for a relaxed structure of AlFe2W.

Geometry as extended XYZ:
```
8
Lattice="0.056 -0.479 4.271 -3.288 -1.551 -2.294 3.338 -6.016 -0.718" Properties=species:S:1:pos:R:3 pbc="T T T"
Fe 0.893 -4.354 1.663
Fe -0.787 -3.691 -0.403
Fe -1.890 -1.703 -0.166
Fe 1.996 -6.342 1.426
W 0.835 -1.504 -0.179
W 2.504 -4.512 -0.538
Al 0.330 -5.705 -0.644
Al -0.224 -2.340 1.904
```

Summary:
- magnetization (μB/f.u.) = 4.21
- total energy (eV/atom) = -7.91



Record 3
DFT (PBE-GGA) results for a relaxed structure of Fe2SiPb.

Geometry as extended XYZ:
```
16
Lattice="6.283 0.000 0.000 0.000 6.283 0.000 0.000 0.000 6.283" Properties=species:S:1:pos:R:3 pbc="T T T"
Fe 1.303 4.980 4.980
Fe 4.980 4.980 1.303
Fe 1.303 1.303 1.303
Fe 4.980 1.303 4.980
Fe 1.303 1.303 4.980
Fe 4.980 4.980 4.980
Fe 1.303 4.980 1.303
Fe 4.980 1.303 1.303
Si 0.000 0.000 3.142
Si 0.000 0.000 0.000
Si 0.000 3.142 0.000
Si 3.142 0.000 0.000
Pb 3.142 3.142 3.142
Pb 3.142 3.142 0.000
Pb 0.000 3.142 3.142
Pb 3.142 0.000 3.142
```

Summary:
- magnetization (μB/f.u.) = 3.91
- total energy (eV/atom) = -6.15



Record 4
DFT (PBE-GGA) results for a relaxed structure of LuIr.

Geometry as extended XYZ:
```
2
Lattice="-2.364 -1.896 2.498 -3.344 -1.603 -1.294 -0.352 -3.906 -0.210" Properties=species:S:1:pos:R:3 pbc="T T T"
Lu -3.030 -3.702 0.497
Ir 0.000 0.000 0.000
```

Summary:
- formation enthalpy at 0 K (eV per atom) = -0.459
- magnetization (μB/f.u.) = 0.00
- total energy (eV/atom) = -7.15



Record 5
DFT (PBE-GGA) results for a relaxed structure of Ta2SiAs2.

Geometry as extended XYZ:
```
5
Lattice="0.381 -5.178 0.933 -0.782 -0.061 5.216 -3.132 2.284 -3.578" Properties=species:S:1:pos:R:3 pbc="T T T"
As -0.258 -3.375 3.962
As -0.143 -1.864 2.188
Ta -2.057 -0.199 2.357
Ta -1.476 -2.757 0.215
Si 0.000 0.000 0.000
```

Summary:
- magnetization (μB/f.u.) = 0.00
- total energy (eV/atom) = -7.52



Record 6
DFT (PBE-GGA) results for a relaxed structure of LiCuNiB.

Geometry as extended XYZ:
```
4
Lattice="0.000 2.640 2.640 2.640 0.000 2.640 2.640 2.640 0.000" Properties=species:S:1:pos:R:3 pbc="T T T"
Cu 1.320 1.320 1.320
Li 2.640 2.640 2.640
Ni 3.961 3.961 3.961
B 0.000 0.000 0.000
```

Summary:
- magnetization (μB/f.u.) = 0.00
- total energy (eV/atom) = -4.39



Record 7
DFT (PBE-GGA) results for a relaxed structure of TaNi5Pt6.

Geometry as extended XYZ:
```
12
Lattice="-3.979 4.111 2.108 2.709 -1.978 -5.092 -5.548 -4.820 -1.078" Properties=species:S:1:pos:R:3 pbc="T T T"
Ni -2.774 -2.410 -0.539
Ni -1.748 2.079 -0.294
Ni -2.328 -2.327 -3.194
Ni 0.477 0.054 -2.689
Ni -4.490 -0.359 -0.867
Pt -4.261 1.863 0.622
Pt -4.790 -2.543 -2.299
Pt -2.557 -4.549 -4.683
Pt -6.993 -0.512 0.092
Pt -2.028 -0.143 -1.763
Pt 0.175 -2.175 -4.153
Ta 0.000 0.000 0.000
```

Summary:
- formation enthalpy at 0 K (eV per atom) = -0.307
- magnetization (μB/f.u.) = 3.07
- total energy (eV/atom) = -6.64



Record 8
DFT (PBE-GGA) results for a relaxed structure of GdYMg3Ni2.

Geometry as extended XYZ:
```
7
Lattice="3.647 0.000 0.000 0.000 1.992 10.434 0.000 -1.992 10.434" Properties=species:S:1:pos:R:3 pbc="T T T"
Y 1.823 0.000 6.785
Ni 0.000 0.000 16.413
Ni 0.000 0.000 4.445
Mg 0.000 0.000 19.208
Mg 0.000 0.000 1.645
Mg 1.823 0.000 10.432
Gd 1.823 0.000 14.106
```

Summary:
- magnetization (μB/f.u.) = 0.00
- total energy (eV/atom) = -4.12



Record 9
DFT (PBE-GGA) results for a relaxed structure of LiMgCoAs.

Geometry as extended XYZ:
```
4
Lattice="0.000 2.986 2.986 2.986 0.000 2.986 2.986 2.986 0.000" Properties=species:S:1:pos:R:3 pbc="T T T"
Li 4.479 4.479 4.479
As 1.493 1.493 1.493
Mg 2.986 2.986 2.986
Co 0.000 0.000 0.000
```

Summary:
- magnetization (μB/f.u.) = 0.01
- total energy (eV/atom) = -3.92



Record 10
DFT (PBE-GGA) results for a relaxed structure of RbAcIr.

Geometry as extended XYZ:
```
3
Lattice="-4.480 1.570 -2.167 -4.450 -2.487 1.115 -3.634 2.339 2.924" Properties=species:S:1:pos:R:3 pbc="T T T"
Ir 0.000 0.000 0.000
Ac -9.423 1.066 1.405
Rb -3.141 0.355 0.468
```

Summary:
- magnetization (μB/f.u.) = 0.04
- total energy (eV/atom) = -4.39



Record 11
DFT (PBE-GGA) results for a relaxed structure of TbSb3S6.

Geometry as extended XYZ:
```
20
Lattice="-0.877 -7.024 -9.049 3.839 -0.288 -0.148 -0.218 -7.587 9.107" Properties=species:S:1:pos:R:3 pbc="T T T"
Sb 1.899 -12.998 -0.634
Sb 0.845 -1.902 0.543
Sb 2.354 -6.099 -2.279
Sb 2.608 -5.787 3.703
Sb 0.390 -8.801 2.188
Sb 0.136 -9.113 -3.794
S 0.761 -4.221 2.890
S 2.100 -6.725 -7.637
S 2.624 -3.418 -0.497
S 0.537 -8.064 4.555
S 1.983 -10.679 -2.981
S 0.644 -8.175 7.546
S 0.120 -11.482 0.406
S 0.321 -7.744 -1.657
S 0.532 -4.113 -3.268
S 2.423 -7.156 1.566
S 2.207 -6.835 -4.646
S 2.212 -10.787 3.177
Tb 0.353 -5.102 -5.977
Tb 2.391 -9.797 5.886
```

Summary:
- magnetization (μB/f.u.) = 0.00
- total energy (eV/atom) = -4.89



Record 12
DFT (PBE-GGA) results for a relaxed structure of Nb2Se3.

Geometry as extended XYZ:
```
5
Lattice="8.356 -6.039 1.873 9.315 -4.679 -1.070 9.869 -3.016 1.821" Properties=species:S:1:pos:R:3 pbc="T T T"
Se 0.000 0.000 0.000
Se 5.920 -2.952 0.564
Se 21.619 -10.782 2.060
Nb 16.605 -8.281 1.582
Nb 10.935 -5.453 1.042
```

Summary:
- magnetization (μB/f.u.) = 0.01
- total energy (eV/atom) = -6.73